# 1
8
Lattice="-2.157 -3.726 -1.800 2.769 0.390 -4.132 7.108 -7.486 1.041" Properties=species:S:1:pos:R:3 comment="GGA-PBE Ca3Cd2Pb3, relaxed" ef_ev_per_fu=-3.01 e_tot_ev_per_atom=-2.747 pbc="T T T"
Ca 4.201 -7.787 -0.935
Ca 0.306 -1.668 -2.966
Ca 3.520 -3.035 -3.957
Cd 3.688 -4.555 -0.974
Cd 4.033 -6.268 -3.918
Pb 6.682 -5.749 -2.089
Pb 1.038 -5.074 -2.803
Pb 0.000 0.000 0.000

=====

# 2
4
Lattice="-2.535 1.894 0.347 -1.780 -2.524 0.769 1.577 0.900 6.600" Properties=species:S:1:pos:R:3 comment="GGA-PBE HgAsPd2, relaxed" ef_ev_per_fu=-0.80 e_tot_ev_per_atom=-4.034 pbc="T T T"
As -2.158 -0.315 0.558
Hg -1.369 0.135 3.858
Pd 1.231 0.702 5.152
Pd 0.346 0.197 1.448

=====

# 3
11
Lattice="3.882 0.204 1.238 1.223 5.455 1.608 0.161 0.167 5.812" Properties=species:S:1:pos:R:3 comment="GGA-PBE Ca2AlH8, relaxed" e_tot_ev_per_atom=-3.291 pbc="T T T"
Ca 3.219 3.943 5.772
Ca 2.047 1.883 2.886
Al 0.000 0.000 0.000
H 3.793 5.236 3.915
H 2.166 4.040 2.000
H 4.800 4.812 7.266
H 0.466 1.014 1.393
H 3.100 1.786 6.659
H 1.473 0.590 4.743
H 1.514 3.285 4.514
H 3.752 2.541 4.144

=====

Copy entry 3 word for word.
11
Lattice="3.882 0.204 1.238 1.223 5.455 1.608 0.161 0.167 5.812" Properties=species:S:1:pos:R:3 comment="GGA-PBE Ca2AlH8, relaxed" e_tot_ev_per_atom=-3.291 pbc="T T T"
Ca 3.219 3.943 5.772
Ca 2.047 1.883 2.886
Al 0.000 0.000 0.000
H 3.793 5.236 3.915
H 2.166 4.040 2.000
H 4.800 4.812 7.266
H 0.466 1.014 1.393
H 3.100 1.786 6.659
H 1.473 0.590 4.743
H 1.514 3.285 4.514
H 3.752 2.541 4.144